<P>
# ErMgSb2

Crystalline ErMgSb2 at its relaxed geometry (PBE, the Alexandria database).

Lattice parameters (Å, degrees): 4.3217 4.3217 20.9048 90.00 90.00 120.00
Space group R-3m (No. 166, hexagonal axes)
One atom of each set of equivalent atoms:
Er (0.0000, 0.0000, 0.0000) [3 per cell]
Mg (0.0000, 0.0000, 0.5000) [3 per cell]
Sb (0.0000, 0.0000, 0.2471) [6 per cell]

Output
Crystal system = trigonal

---

<Q>
# ErMgSb2

Crystalline ErMgSb2 at its relaxed geometry (PBE, the Alexandria database).

Lattice parameters (Å, degrees): 4.380 4.380 10.700 90.00 90.00 90.00
Space group P4/nmm (No. 129, origin choice 2)
One atom of each set of equivalent atoms:
Er (0.250, 0.250, 0.216) [2 per cell]
Mg (0.250, 0.750, 0.500) [2 per cell]
Sb (0.250, 0.250, 0.684) [2 per cell]
Sb (0.250, 0.750, 0.000) [2 per cell]

Output
Crystal system = tetragonal

---

<R>
# ErMgSb2

Crystalline ErMgSb2 at its relaxed geometry (PBE, the Alexandria database).

Lattice parameters (Å, degrees): 4.963 4.963 4.088 90.00 90.00 90.00
Space group P4/mmm (No. 123)
One atom of each set of equivalent atoms:
Er (0.000, 0.000, 0.000) [1 per cell]
Mg (0.500, 0.500, 0.000) [1 per cell]
Sb (0.000, 0.500, 0.500) [2 per cell]

Output
Crystal system = tetragonal

---

Of them, the most stable is <Q> and the least stable is <R>.